Entry 1:
CsMnTe2N GGA-PBE optimized geometry; formation energy (no corrections) = 1862 meV per atom; density = 4130 kg/m³; raw total energy = -15.322 eV per formula unit
1.0
6.453 0.000 0.000
0.000 6.453 0.000
0.000 0.000 4.412
Cs Mn Te N
1 1 2 1
direct
0.000 0.000 0.000
0.500 0.500 0.500
0.000 0.500 0.000
0.500 0.000 0.000
0.000 0.000 0.500

=====

Entry 2:
AsSeBr2N GGA-PBE optimized geometry; ΔE to the lowest computed polymorph = 13.8 meV per atom; formation energy (no corrections) = 1121 meV per atom; density = 3739 kg/m³; raw total energy = -14.199 eV per formula unit
1.0
5.397 0.000 0.000
0.000 5.397 0.000
0.000 0.000 4.996
As Se Br N
1 1 2 1
direct
0.000 0.000 0.000
0.000 0.000 0.500
0.000 0.500 0.000
0.500 0.000 0.000
0.500 0.500 0.500

=====

Entry 3:
LaMnS2N GGA-PBE optimized geometry; ΔE to the lowest computed polymorph = 0.0 meV per atom; formation energy (no corrections) = -966 meV per atom; density = 5373 kg/m³; raw total energy = -35.505 eV per formula unit
1.0
4.800 0.000 0.000
0.000 4.800 0.000
0.000 0.000 3.648
La Mn S N
1 1 2 1
direct
0.000 0.000 0.000
0.500 0.500 0.500
0.000 0.500 0.500
0.500 0.000 0.500
0.500 0.500 0.000

=====

Entry 4:
HfNO2F GGA-PBE optimized geometry; formation energy (no corrections) = 131 meV per atom; density = 8468 kg/m³; raw total energy = -29.414 eV per formula unit
1.0
3.659 0.000 0.000
0.000 3.659 0.000
0.000 0.000 3.565
Hf N O F
1 1 2 1
direct
0.000 0.000 0.000
0.500 0.500 0.000
0.000 0.500 0.500
0.500 0.000 0.500
0.500 0.500 0.500

=====

Entry 5:
ZnCu2Mo GGA-PBE optimized geometry; DFT formation energy = 5.95 kcal/mol of atoms; density = 8719 kg/m³; raw total energy = -19.266 eV per formula unit
1.0
4.552 0.000 0.000
0.000 4.552 0.000
0.000 0.000 2.651
Zn Cu Mo
1 2 1
direct
0.000 0.000 0.000
0.000 0.500 0.500
0.500 0.000 0.500
0.500 0.500 0.000

=====

Entry 6:
Sr2RuBr GGA-PBE optimized geometry; ΔE to the lowest computed polymorph = 429.5 meV per atom; formation energy (no corrections) = -3 meV per atom; density = 4977 kg/m³; raw total energy = -14.326 eV per formula unit
1.0
-2.188 2.188 6.209
2.188 -2.188 6.209
2.188 2.188 -6.209
Sr Ru Br
2 1 1
direct
0.000 0.000 0.000
0.750 0.250 0.500
0.500 0.500 0.000
0.250 0.750 0.500

=====

Entry 7:
Hf2Al7Zn2 GGA-PBE optimized geometry; DFT formation energy = -3.87 kcal/mol of atoms; density = 5715 kg/m³; raw total energy = -50.499 eV per formula unit
1.0
-1.972 4.384 5.685
1.972 -4.384 5.685
1.972 4.384 -5.685
Hf Al Zn
2 7 2
direct
0.175 0.175 0.000
0.825 0.825 0.000
0.000 0.500 0.500
0.080 0.332 0.748
0.368 0.868 0.500
0.416 0.668 0.748
0.584 0.332 0.252
0.632 0.132 0.500
0.920 0.668 0.252
0.237 0.000 0.237
0.763 0.000 0.763

=====

Entry 8:
PrMgCdHg GGA-PBE optimized geometry; DFT formation energy = -9.15 kcal/mol of atoms; density = 7948 kg/m³; raw total energy = -9.178 eV per formula unit
1.0
0.000 3.683 3.683
3.683 0.000 3.683
3.683 3.683 0.000
Pr Mg Cd Hg
1 1 1 1
direct
0.000 0.000 0.000
0.500 0.500 0.500
0.750 0.750 0.750
0.250 0.250 0.250

=====

Entry 9:
Ti2SbS6 GGA-PBE optimized geometry; formation energy (no corrections) = -887 meV per atom; density = 3087 kg/m³; raw total energy = -52.658 eV per formula unit
1.0
8.420 -1.754 0.000
8.420 1.754 0.000
-2.915 0.000 7.467
Ti Sb S
2 1 6
direct
0.174 0.174 0.346
0.826 0.826 0.654
0.500 0.500 0.000
0.015 0.015 0.245
0.326 0.326 0.439
0.335 0.335 0.875
0.665 0.665 0.125
0.674 0.674 0.561
0.985 0.985 0.755

=====

Entry 10:
PuHfMnZn GGA-PBE optimized geometry; DFT formation energy = 1.15 kcal/mol of atoms; density = 11808 kg/m³; raw total energy = -34.530 eV per formula unit
1.0
0.000 3.367 3.367
3.367 0.000 3.367
3.367 3.367 0.000
Pu Hf Mn Zn
1 1 1 1
direct
0.000 0.000 0.000
0.500 0.500 0.500
0.250 0.250 0.250
0.750 0.750 0.750

=====

Entry 11:
NbPt2I GGA-PBE optimized geometry; ΔE to the lowest computed polymorph = 0.0 meV per atom; formation energy (no corrections) = 275 meV per atom; density = 9855 kg/m³; raw total energy = -22.603 eV per formula unit
1.0
-3.389 3.389 4.475
3.389 -3.389 4.475
3.389 3.389 -4.475
Nb Pt I
2 4 2
direct
0.000 0.000 0.000
0.750 0.250 0.500
0.090 0.125 0.465
0.375 0.910 0.035
0.660 0.625 0.535
0.875 0.340 0.965
0.250 0.750 0.500
0.500 0.500 0.000

=====

Entry 12:
SiHgAs2Se GGA-PBE optimized geometry; ΔE to the lowest computed polymorph = 0.0 meV per atom; formation energy (no corrections) = 521 meV per atom; density = 6555 kg/m³; raw total energy = -15.903 eV per formula unit
1.0
4.909 0.000 0.000
0.000 4.909 0.000
0.000 0.000 4.809
Si Hg As Se
1 1 2 1
direct
0.000 0.000 0.000
0.500 0.500 0.500
0.000 0.500 0.000
0.500 0.000 0.000
0.000 0.000 0.500